1.
Material: La3Mg
Method: DFT, GGA-PBEsol
State: optimized geometry

The calculated volume is 252 Å³ per cell. Its formation enthalpy at 0 K is -0.001 eV/atom.

It has space group Pmmn (No. 59, origin choice 2), with a = 5.630 Å, b = 7.193 Å, c = 6.212 Å, α = 90.00°, β = 90.00° and γ = 90.00°. The asymmetric unit holds La at (0.250, 0.003, 0.179), La at (0.250, 0.750, 0.644) and Mg at (0.250, 0.250, 0.679).

2.
Material: CdSbOs2
Method: DFT, GGA-PBEsol
State: optimized geometry

The calculated volume is 139 Å³ per cell. The total energy comes out at -6.6243 eV per atom.

It has space group Cmmm (No. 65), with a = 3.069 Å, b = 5.124 Å, c = 8.830 Å, α = 90.00°, β = 90.00° and γ = 90.00°. The asymmetric unit holds Cd at (0.000, 0.000, 0.000), Sb at (0.000, 0.000, 0.500) and Os at (0.000, 0.500, 0.265).

3.
Material: InCo2Ni
Method: DFT, GGA-PBEsol
State: optimized geometry

The calculated volume is 51 Å³ per cell. Its formation enthalpy at 0 K is 0.263 eV/atom.

It has space group P2/m (No. 10), with a = 2.653 Å, b = 4.155 Å, c = 4.706 Å, α = 90.00°, β = 99.16° and γ = 90.00°. The asymmetric unit holds In at (0.000, 0.000, 0.000), Co at (0.295, 0.500, 0.721) and Ni at (0.500, 0.000, 0.500).

4.
Material: YSbTe2N
Method: DFT, GGA-PBEsol
State: optimized geometry

The calculated volume is 129 Å³ per cell. The total energy comes out at -5.2200 eV per atom.

It has space group P4/mmm (No. 123), with a = 5.706 Å, b = 5.706 Å, c = 3.976 Å, α = 90.00°, β = 90.00° and γ = 90.00°. The asymmetric unit holds Y at (0.000, 0.000, 0.000), Sb at (0.500, 0.500, 0.500), Te at (0.000, 0.500, 0.500) and N at (0.500, 0.500, 0.000).

5.
Material: Sr3CaLa
Method: DFT, GGA-PBEsol
State: optimized geometry

The calculated volume is 253 Å³ per cell. Its formation enthalpy at 0 K is 0.739 eV/atom.

It has space group Pm-3m (No. 221), with a = 6.322 Å, b = 6.322 Å, c = 6.322 Å, α = 90.00°, β = 90.00° and γ = 90.00°. The asymmetric unit holds Sr at (0.000, 0.000, 0.500), Ca at (0.000, 0.000, 0.000) and La at (0.500, 0.500, 0.500).

6.
Material: AuSe3S
Method: DFT, GGA-PBEsol
State: optimized geometry

The calculated volume is 121 Å³ per cell. The total energy comes out at -2.9972 eV per atom.

It has space group Pm-3m (No. 221), with a = 4.950 Å, b = 4.950 Å, c = 4.950 Å, α = 90.00°, β = 90.00° and γ = 90.00°. The asymmetric unit holds Au at (0.000, 0.000, 0.000), Se at (0.000, 0.000, 0.500) and S at (0.500, 0.500, 0.500).

7.
Material: InMo2PIr
Method: DFT, GGA-PBEsol
State: optimized geometry

The calculated volume is 108 Å³ per cell. Its formation enthalpy at 0 K is 2.761 eV/atom.

It has space group P4/mmm (No. 123), with a = 4.881 Å, b = 4.881 Å, c = 4.519 Å, α = 90.00°, β = 90.00° and γ = 90.00°. The asymmetric unit holds In at (0.000, 0.000, 0.000), Mo at (0.000, 0.500, 0.000), P at (0.000, 0.000, 0.500) and Ir at (0.500, 0.500, 0.500).

8.
Material: Ba7BrClF12
Method: DFT, GGA-PBEsol
State: optimized geometry

The calculated volume is 408 Å³ per cell. The total energy comes out at -5.6731 eV per atom.

It has space group P-6 (No. 174), with a = 10.6341 Å, b = 10.6341 Å, c = 4.1650 Å, α = 90.00°, β = 90.00° and γ = 120.00°. The asymmetric unit holds Ba at (0.0000, 0.0000, 0.0000), Ba at (0.1081, 0.4110, 0.0000), Ba at (0.3958, 0.2874, 0.5000), Br at (0.6667, 0.3333, 0.0000), Cl at (0.3333, 0.6667, 0.5000), F at (0.0656, 0.6351, 0.0000), F at (0.0991, 0.8845, 0.5000), F at (0.2760, 0.1208, 0.0000) and F at (0.4373, 0.0490, 0.5000).

9.
Material: AlGeMo
Method: DFT, GGA-PBEsol
State: optimized geometry

The calculated volume is 133 Å³ per cell. Its formation enthalpy at 0 K is -0.311 eV/atom.

It has space group P3_212 (No. 153), with a = 4.7966 Å, b = 4.7966 Å, c = 6.6606 Å, α = 90.00°, β = 90.00° and γ = 120.00°. The asymmetric unit holds Al at (0.0007, 0.5003, 0.0000), Ge at (0.1698, 0.3396, 0.3333) and Mo at (0.3277, 0.1639, 0.0000).

10.
Material: Cr2CuRu
Method: DFT, GGA-PBEsol
State: optimized geometry

The calculated volume is 49 Å³ per cell. Its formation enthalpy at 0 K is 0.421 eV/atom.

It has space group P4/mmm (No. 123), with a = 4.146 Å, b = 4.146 Å, c = 2.841 Å, α = 90.00°, β = 90.00° and γ = 90.00°. The asymmetric unit holds Cr at (0.000, 0.500, 0.000), Cu at (0.000, 0.000, 0.500) and Ru at (0.500, 0.500, 0.500).

11.
Material: BaCa3Rh
Method: DFT, GGA-PBEsol
State: optimized geometry

The calculated volume is 175 Å³ per cell. Its formation enthalpy at 0 K is -0.173 eV/atom.

It has space group Pm-3m (No. 221), with a = 5.590 Å, b = 5.590 Å, c = 5.590 Å, α = 90.00°, β = 90.00° and γ = 90.00°. The asymmetric unit holds Ba at (0.000, 0.000, 0.000), Ca at (0.000, 0.500, 0.500) and Rh at (0.500, 0.500, 0.500).

12.
Material: ZnGeF3
Method: DFT, GGA-PBEsol
State: optimized geometry

The calculated volume is 66 Å³ per cell. The total energy comes out at -3.9783 eV per atom.

It has space group Pm-3m (No. 221), with a = 4.036 Å, b = 4.036 Å, c = 4.036 Å, α = 90.00°, β = 90.00° and γ = 90.00°. The asymmetric unit holds Zn at (0.000, 0.000, 0.000), Ge at (0.500, 0.500, 0.500) and F at (0.000, 0.000, 0.500).

13.
Material: MgZrPb2
Method: DFT, GGA-PBEsol
State: optimized geometry

The calculated volume is 191 Å³ per cell. Its formation enthalpy at 0 K is -0.119 eV/atom.

It has space group Cm (No. 8), with a = 11.511 Å, b = 3.304 Å, c = 5.312 Å, α = 90.00°, β = 108.91° and γ = 90.00°. The asymmetric unit holds Mg at (0.000, 0.000, 0.000), Zr at (0.244, 0.500, 0.406), Pb at (0.248, 0.000, 0.904) and Pb at (0.487, 0.000, 0.479).

14.
Material: AcLaCd2
Method: DFT, GGA-PBEsol
State: optimized geometry

The calculated volume is 484 Å³ per cell. Its formation enthalpy at 0 K is -0.297 eV/atom.

It has space group Fm-3m (No. 225), with a = 7.852 Å, b = 7.852 Å, c = 7.852 Å, α = 90.00°, β = 90.00° and γ = 90.00°. The asymmetric unit holds Ac at (0.000, 0.000, 0.000), La at (0.000, 0.000, 0.500) and Cd at (0.250, 0.250, 0.250).

15.
Material: Li2InRu
Method: DFT, GGA-PBEsol
State: optimized geometry

The calculated volume is 62 Å³ per cell. Its formation enthalpy at 0 K is 0.042 eV/atom.

It has space group P2/m (No. 10), with a = 2.854 Å, b = 4.644 Å, c = 4.710 Å, α = 90.00°, β = 93.23° and γ = 90.00°. The asymmetric unit holds Li at (0.248, 0.000, 0.219), In at (0.000, 0.500, 0.500) and Ru at (0.500, 0.500, 0.000).

16.
Material: Fe2CuTe
Method: DFT, GGA-PBEsol
State: optimized geometry

The calculated volume is 110 Å³ per cell. The total energy comes out at -6.1154 eV per atom.

It has space group I4/mmm (No. 139), with a = 3.763 Å, b = 3.763 Å, c = 7.754 Å, α = 90.00°, β = 90.00° and γ = 90.00°. The asymmetric unit holds Fe at (0.000, 0.500, 0.250), Cu at (0.000, 0.000, 0.000) and Te at (0.000, 0.000, 0.500).

17.
Material: AlFe3
Method: DFT, GGA-PBEsol
State: optimized geometry

The calculated volume is 181 Å³ per cell. Its formation enthalpy at 0 K is -0.174 eV/atom.

It has space group Fm-3m (No. 225), with a = 5.654 Å, b = 5.654 Å, c = 5.654 Å, α = 90.00°, β = 90.00° and γ = 90.00°. The asymmetric unit holds Al at (0.000, 0.000, 0.000), Fe at (0.000, 0.000, 0.500) and Fe at (0.250, 0.250, 0.250).

18.
Material: NiSbPb2F
Method: DFT, GGA-PBEsol
State: optimized geometry

The calculated volume is 156 Å³ per cell. The total energy comes out at -3.8277 eV per atom.

It has space group P4/mmm (No. 123), with a = 5.854 Å, b = 5.854 Å, c = 4.539 Å, α = 90.00°, β = 90.00° and γ = 90.00°. The asymmetric unit holds Ni at (0.000, 0.000, 0.000), Sb at (0.000, 0.000, 0.500), Pb at (0.000, 0.500, 0.500) and F at (0.500, 0.500, 0.000).

19.
Material: NaTl2Cd2
Method: DFT, GGA-PBEsol
State: optimized geometry

The calculated volume is 262 Å³ per cell. Its formation enthalpy at 0 K is 0.006 eV/atom.

It has space group P4/mbm (No. 127), with a = 8.655 Å, b = 8.655 Å, c = 3.501 Å, α = 90.00°, β = 90.00° and γ = 90.00°. The asymmetric unit holds Na at (0.000, 0.000, 0.000), Tl at (0.147, 0.353, 0.000) and Cd at (0.150, 0.650, 0.500).

20.
Material: ScTlCd2
Method: DFT, GGA-PBEsol
State: optimized geometry

The calculated volume is 178 Å³ per cell. Its formation enthalpy at 0 K is -0.093 eV/atom.

It has space group C2/m (No. 12), with a = 6.016 Å, b = 10.894 Å, c = 3.088 Å, α = 90.00°, β = 118.56° and γ = 90.00°. The asymmetric unit holds Sc at (0.000, 0.000, 0.000), Tl at (0.000, 0.500, 0.000) and Cd at (0.250, 0.250, 0.500).